This record from Alexandria via LeMat-Bulk describes a relaxed DyYZn4 crystal. The functional is PBE.

```
6
Lattice="0.000 3.864 3.864 3.864 0.000 3.864 3.864 3.864 0.000" Properties=species:S:1:pos:R:3 pbc="T T T"
Dy 0.000 0.000 0.000
Y 5.796 5.796 5.796
Zn 2.898 2.898 2.898
Zn 4.830 4.830 2.898
Zn 4.830 2.898 4.830
Zn 2.898 4.830 4.830
```

Values from the calculation:
volume = 19.2 Å³ per atom
space-group type = F-43m (216)
raw total energy = -18.20 eV/cell
calculated formation energy = -2.0 eV/f.u.